## CoTc2Ir (PBE-GGA)

Data for CoTc2Ir after structural relaxation.

Unit cell a=4.601 b=4.601 c=4.601 alpha=131.00 beta=131.00 gamma=71.81
Fractional coordinates of all 4 atoms:
Co1 0.000 0.000 0.000
Tc1 0.500 0.500 0.000
Tc2 0.750 0.250 0.500
Ir1 0.250 0.750 0.500

Values from the calculation:
The formation energy is -0.03 eV/atom. As for the energy above the most stable polymorph in this dataset: 117 meV per atom. The total magnetization comes out at 0.0 μB/f.u.

***

## CoTc2Ir (PBE-GGA)

Data for CoTc2Ir after structural relaxation.

Unit cell a=2.689 b=2.689 c=7.533 alpha=90.00 beta=90.00 gamma=90.00
Fractional coordinates of all 4 atoms:
Co1 0.000 0.000 0.000
Tc1 0.000 0.000 0.500
Tc2 0.500 0.500 0.779
Ir1 0.500 0.500 0.253

Values from the calculation:
The formation energy is 0.00 eV/atom. As for the energy above the most stable polymorph in this dataset: 148 meV per atom. The total magnetization comes out at 0.0 μB/f.u.

***

## CoTcIr3 (PBE-GGA)

Data for CoTcIr3 after structural relaxation.

Unit cell a=4.384 b=4.384 c=4.384 alpha=90.00 beta=90.00 gamma=90.00
Fractional coordinates of all 5 atoms:
Co1 0.000 0.000 0.000
Tc1 0.500 0.500 0.500
Ir1 0.000 0.000 0.500
Ir2 0.000 0.500 0.000
Ir3 0.500 0.000 0.000

Values from the calculation:
The formation energy is 1.64 eV/atom. As for the energy above the most stable polymorph in this dataset: 1299 meV per atom. The total magnetization comes out at 2.7 μB/f.u.

***

- Number 1 is which compound?
  CoTc2Ir